No. 1
# BaGdMgGa

BaGdMgGa after structural relaxation (PBE-GGA, Alexandria via LeMat-Bulk).

Calculated values
* SG: F-43m
* E_tot: -21.18 eV/f.u.

Lattice parameters (Å, degrees): 5.5793 5.5793 5.5793 60.00 60.00 60.00
Last column: magnetic moment on the atom in μB.
Positions (direct):
Gd (0.5000, 0.5000, 0.5000)  7.10
Ba (0.0000, 0.0000, 0.0000)  0.03
Mg (0.7500, 0.7500, 0.7500)  -0.01
Ga (0.2500, 0.2500, 0.2500)  0.00

No. 2
# Ba2GdGaSe5

Ba2GdGaSe5 after structural relaxation (PBE-GGA, Alexandria via LeMat-Bulk).

Calculated values
* formation energy from raw total energies: -1.66 eV per atom
* SG: P-1

Lattice parameters (Å, degrees): 7.4267 8.8301 9.5877 103.60 103.06 107.50
Last column: magnetic moment on the atom in μB.
Positions (direct):
Se (0.9906, 0.6847, 0.6844)  -0.01
Se (0.5071, 0.2578, 0.5064)  0.00
Se (0.2946, 0.5897, 0.0551)  -0.01
Se (0.0121, 0.8468, 0.3113)  -0.01
Ga (0.1911, 0.1273, 0.3118)  0.00
Gd (0.9978, 0.7314, 0.9976)  6.93
Se (0.7116, 0.9077, 0.9244)  0.00
Se (0.2884, 0.0923, 0.0756)  0.00
Ba (0.3674, 0.0220, 0.7091)  0.00
Se (0.4929, 0.7422, 0.4936)  0.00
Ba (0.6556, 0.4883, 0.2919)  0.00
Ba (0.6326, 0.9780, 0.2909)  0.00
Se (0.9879, 0.1532, 0.6887)  -0.01
Ga (0.8089, 0.8727, 0.6882)  0.00
Se (0.7054, 0.4103, 0.9449)  -0.01
Se (0.0094, 0.3153, 0.3156)  -0.01
Ba (0.3444, 0.5117, 0.7081)  0.00
Gd (0.0022, 0.2686, 0.0024)  6.93

No. 3
# Ba8GaGe2

Ba8GaGe2 after structural relaxation (PBE-GGA, Alexandria via LeMat-Bulk).

Calculated values
* SG: C2/m
* E_tot: -30.74 eV/f.u.

Lattice parameters (Å, degrees): 5.7466 7.9839 11.0967 103.29 105.01 90.00
Positions (direct):
Ba (0.3337, 0.0424, 0.6674)
Ge (0.1937, 0.7257, 0.3874)
Ba (0.4092, 0.5636, 0.8184)
Ba (0.5908, 0.4364, 0.1816)
Ba (0.0390, 0.8015, 0.0781)
Ba (0.9610, 0.1985, 0.9219)
Ga (0.5000, 0.0000, 0.0000)
Ba (0.6663, 0.9576, 0.3326)
Ba (0.2084, 0.3244, 0.4167)
Ge (0.8063, 0.2743, 0.6126)
Ba (0.7916, 0.6756, 0.5833)

No. 4
# Ba3Ga2Ge3

Ba3Ga2Ge3 after structural relaxation (PBE-GGA, Alexandria via LeMat-Bulk).

Calculated values
* SG: Cmcm
* E_tot: -29.05 eV/f.u.

Lattice parameters (Å, degrees): 4.6759 6.5903 17.7516 90.00 90.00 110.78
Positions (direct):
Ge (0.3693, 0.7387, 0.7500)
Ge (0.6307, 0.2613, 0.2500)
Ge (0.9338, 0.8676, 0.4423)
Ba (0.3505, 0.7010, 0.9351)
Ba (0.3422, 0.6844, 0.2500)
Ga (0.9618, 0.9235, 0.6802)
Ba (0.6495, 0.2990, 0.0649)
Ga (0.9618, 0.9235, 0.8198)
Ge (0.0662, 0.1324, 0.5577)
Ba (0.3505, 0.7010, 0.5649)
Ga (0.0382, 0.0765, 0.3198)
Ge (0.0662, 0.1324, 0.9423)
Ba (0.6495, 0.2990, 0.4351)
Ba (0.6578, 0.3156, 0.7500)
Ge (0.9338, 0.8676, 0.0577)
Ga (0.0382, 0.0765, 0.1802)

No. 5
# Ba3Ga3Ge2

Ba3Ga3Ge2 after structural relaxation (PBE-GGA, Alexandria via LeMat-Bulk).

Calculated values
* SG: Cmcm
* E_tot: -28.15 eV/f.u.

Lattice parameters (Å, degrees): 4.4114 6.7964 17.0554 90.00 90.00 108.94
Positions (direct):
Ba (0.1646, 0.3291, 0.5941)
Ba (0.4737, 0.9473, 0.7500)
Ge (0.8724, 0.7448, 0.8819)
Ba (0.1646, 0.3291, 0.9059)
Ga (0.7523, 0.5045, 0.7500)
Ga (0.5698, 0.1396, 0.4500)
Ba (0.5263, 0.0527, 0.2500)
Ga (0.4302, 0.8604, 0.9500)
Ga (0.2477, 0.4955, 0.2500)
Ga (0.4302, 0.8604, 0.5500)
Ga (0.5698, 0.1396, 0.0500)
Ba (0.8354, 0.6709, 0.4059)
Ge (0.8724, 0.7448, 0.6181)
Ge (0.1276, 0.2552, 0.1181)
Ba (0.8354, 0.6709, 0.0941)
Ge (0.1276, 0.2552, 0.3819)

No. 6
# BaGa2Ge

BaGa2Ge after structural relaxation (PBE-GGA, Alexandria via LeMat-Bulk).

Calculated values
* SG: R-3m
* E_tot: -13.91 eV/f.u.

Lattice parameters (Å, degrees): 4.4682 4.4682 6.6773 70.45 70.45 60.00
Positions (direct):
Ga (0.2825, 0.2825, 0.1525)
Ba (0.5000, 0.5000, 0.5000)
Ge (0.0000, 0.0000, 0.0000)
Ga (0.7175, 0.7175, 0.8475)

No. 7
# BaGa4Ge3

BaGa4Ge3 after structural relaxation (PBE-GGA, Alexandria via LeMat-Bulk).

Calculated values
* SG: P4/mmm
* E_tot: -29.48 eV/f.u.

Lattice parameters (Å, degrees): 4.9270 4.9270 7.4690 90.00 90.00 90.00
Positions (direct):
Ga (0.0000, 0.5000, 0.1754)
Ge (0.5000, 0.5000, 0.6746)
Ga (0.0000, 0.5000, 0.8246)
Ge (0.5000, 0.5000, 0.3254)
Ba (0.0000, 0.0000, 0.5000)
Ga (0.5000, 0.0000, 0.1754)
Ge (0.0000, 0.0000, 0.0000)
Ga (0.5000, 0.0000, 0.8246)

No. 8
# Ba3Ga3Ge2

Ba3Ga3Ge2 after structural relaxation (PBE-GGA, Alexandria via LeMat-Bulk).

Calculated values
* SG: Cmcm
* E_tot: -27.91 eV/f.u.

Lattice parameters (Å, degrees): 4.5104 6.8462 16.0296 90.00 90.00 109.23
Positions (direct):
Ge (0.2361, 0.4721, 0.3904)
Ba (0.0625, 0.1249, 0.6007)
Ba (0.9375, 0.8751, 0.3993)
Ga (0.6598, 0.3196, 0.0381)
Ge (0.7639, 0.5279, 0.6096)
Ba (0.6470, 0.2940, 0.2500)
Ba (0.0625, 0.1249, 0.8993)
Ga (0.3402, 0.6804, 0.5381)
Ba (0.3530, 0.7060, 0.7500)
Ga (0.6598, 0.3196, 0.4619)
Ge (0.2361, 0.4721, 0.1096)
Ga (0.3402, 0.6804, 0.9619)
Ga (0.3627, 0.7255, 0.2500)
Ge (0.7639, 0.5279, 0.8904)
Ga (0.6373, 0.2745, 0.7500)
Ba (0.9375, 0.8751, 0.1007)

No. 9
# Ba3GaGe2

Ba3GaGe2 after structural relaxation (PBE-GGA, Alexandria via LeMat-Bulk).

Calculated values
* SG: C2/m
* E_tot: -20.07 eV/f.u.

Lattice parameters (Å, degrees): 4.6669 9.5364 11.9483 70.04 78.74 75.84
Positions (direct):
Ge (0.1386, 0.5275, 0.1953)
Ba (0.6506, 0.6934, 0.0054)
Ga (0.4248, 0.4858, 0.6645)
Ba (0.2106, 0.1946, 0.3841)
Ge (0.4122, 0.7129, 0.4628)
Ba (0.0495, 0.1654, 0.7357)
Ga (0.5752, 0.5142, 0.3355)
Ba (0.9505, 0.8346, 0.2643)
Ba (0.7894, 0.8054, 0.6159)
Ge (0.5878, 0.2871, 0.5372)
Ge (0.8614, 0.4725, 0.8047)
Ba (0.3494, 0.3066, 0.9946)

No. 10
# BaGaGe3

BaGaGe3 after structural relaxation (PBE-GGA, Alexandria via LeMat-Bulk).

Calculated values
* SG: Pm-3m
* E_tot: -18.60 eV/f.u.

Lattice parameters (Å, degrees): 5.1297 5.1297 5.1297 90.00 90.00 90.00
Positions (direct):
Ba (0.5000, 0.5000, 0.5000)
Ge (0.0000, 0.5000, 0.0000)
Ge (0.5000, 0.0000, 0.0000)
Ge (0.0000, 0.0000, 0.5000)
Ga (0.0000, 0.0000, 0.0000)

No. 11
# Ba3GaGe

Ba3GaGe after structural relaxation (PBE-GGA, Alexandria via LeMat-Bulk).

Calculated values
* SG: P1
* E_tot: -15.08 eV/f.u.

Lattice parameters (Å, degrees): 4.4063 9.5147 9.8581 92.48 89.98 103.34
Positions (direct):
Ba (0.0730, 0.1778, 0.3714)
Ba (0.4199, 0.8749, 0.6297)
Ge (0.4112, 0.8550, 0.2866)
Ge (0.6342, 0.2994, 0.1353)
Ba (0.9714, 0.9764, 0.0504)
Ga (0.2401, 0.5138, 0.6661)
Ba (0.2638, 0.5605, 0.0330)
Ba (0.6229, 0.2790, 0.7920)
Ba (0.7803, 0.5936, 0.3883)
Ga (0.8029, 0.6399, 0.7549)

No. 12
# Ba3GaGe4

Ba3GaGe4 after structural relaxation (PBE-GGA, Alexandria via LeMat-Bulk).

Calculated values
* SG: Immm
* E_tot: -30.31 eV/f.u.

Lattice parameters (Å, degrees): 5.2395 5.8995 9.4134 108.26 106.16 90.00
Positions (direct):
Ba (0.0000, 0.5000, 0.0000)
Ge (0.6155, 0.8238, 0.2309)
Ge (0.3845, 0.1762, 0.7691)
Ba (0.8081, 0.8081, 0.6161)
Ge (0.3845, 0.5929, 0.7691)
Ba (0.1919, 0.1919, 0.3839)
Ga (0.5000, 0.0000, 0.0000)
Ge (0.6155, 0.4071, 0.2309)

No. 13
# Ba3Ga2Ge3

Ba3Ga2Ge3 after structural relaxation (PBE-GGA, Alexandria via LeMat-Bulk).

Calculated values
* SG: Cmcm
* E_tot: -29.72 eV/f.u.

Lattice parameters (Å, degrees): 4.6988 6.8292 15.5068 90.00 90.00 110.12
Positions (direct):
Ba (0.3531, 0.7062, 0.7500)
Ga (0.7674, 0.5348, 0.9008)
Ba (0.6469, 0.2938, 0.2500)
Ge (0.6556, 0.3112, 0.7500)
Ba (0.0727, 0.1454, 0.8959)
Ba (0.9273, 0.8546, 0.3959)
Ge (0.6543, 0.3087, 0.4567)
Ga (0.2326, 0.4652, 0.0992)
Ge (0.3457, 0.6913, 0.9567)
Ba (0.0727, 0.1454, 0.6041)
Ge (0.3457, 0.6913, 0.5433)
Ba (0.9273, 0.8546, 0.1041)
Ga (0.7674, 0.5348, 0.5992)
Ge (0.6543, 0.3087, 0.0433)
Ga (0.2326, 0.4652, 0.4008)
Ge (0.3444, 0.6888, 0.2500)

No. 14
# Ba2Ga3Ge5

Ba2Ga3Ge5 after structural relaxation (PBE-GGA, Alexandria via LeMat-Bulk).

Calculated values
* SG: P-4m2
* E_tot: -39.26 eV/f.u.

Lattice parameters (Å, degrees): 4.9019 4.9019 10.0107 90.00 90.00 90.00
Positions (direct):
Ga (0.5000, 0.0000, 0.6217)
Ge (0.5000, 0.0000, 0.8867)
Ga (0.0000, 0.5000, 0.3783)
Ge (0.5000, 0.5000, 0.5000)
Ge (0.0000, 0.0000, 0.0000)
Ga (0.0000, 0.0000, 0.5000)
Ba (0.0000, 0.5000, 0.7487)
Ge (0.0000, 0.5000, 0.1133)
Ge (0.5000, 0.5000, 0.0000)
Ba (0.5000, 0.0000, 0.2513)

No. 15
# BaGa4Ge4

BaGa4Ge4 after structural relaxation (PBE-GGA, Alexandria via LeMat-Bulk).

Calculated values
* SG: P4_2/nmc
* E_tot: -33.51 eV/f.u.

Lattice parameters (Å, degrees): 6.7964 6.7964 8.8207 90.00 90.00 90.00
Positions (direct):
Ge (0.5000, 0.7956, 0.1580)
Ga (0.7250, 0.0000, 0.3608)
Ge (0.5000, 0.2044, 0.1580)
Ge (0.0000, 0.7044, 0.3420)
Ba (0.5000, 0.5000, 0.5000)
Ge (0.7044, 0.0000, 0.6580)
Ge (0.7956, 0.5000, 0.8420)
Ge (0.2044, 0.5000, 0.8420)
Ga (0.0000, 0.2750, 0.6392)
Ga (0.5000, 0.2250, 0.8608)
Ga (0.2250, 0.5000, 0.1392)
Ba (0.0000, 0.0000, 0.0000)
Ga (0.2750, 0.0000, 0.3608)
Ga (0.5000, 0.7750, 0.8608)
Ge (0.2956, 0.0000, 0.6580)
Ge (0.0000, 0.2956, 0.3420)
Ga (0.7750, 0.5000, 0.1392)
Ga (0.0000, 0.7250, 0.6392)

No. 16
# BaGaGe3

BaGaGe3 after structural relaxation (PBE-GGA, Alexandria via LeMat-Bulk).

Calculated values
* SG: Cmcm
* E_tot: -19.90 eV/f.u.

Lattice parameters (Å, degrees): 13.4373 13.4373 4.2674 90.00 90.00 160.67
Positions (direct):
Ga (0.2002, 0.7998, 0.7500)
Ge (0.5264, 0.4736, 0.7500)
Ba (0.0820, 0.9180, 0.2500)
Ge (0.3554, 0.6446, 0.2500)
Ge (0.7024, 0.2976, 0.2500)
Ge (0.2976, 0.7024, 0.7500)
Ge (0.4736, 0.5264, 0.2500)
Ge (0.6446, 0.3554, 0.7500)
Ga (0.7998, 0.2002, 0.2500)
Ba (0.9180, 0.0820, 0.7500)

No. 17
# Ba2Ga2Ge

Ba2Ga2Ge after structural relaxation (PBE-GGA, Alexandria via LeMat-Bulk).

Calculated values
* SG: Amm2
* E_tot: -16.42 eV/f.u.

Lattice parameters (Å, degrees): 4.8984 4.2472 7.8082 105.78 90.00 90.00
Positions (direct):
Ba (0.0000, 0.9290, 0.8580)
Ge (0.5000, 0.1027, 0.2054)
Ga (0.5000, 0.5083, 0.0167)
Ga (0.5000, 0.3164, 0.6329)
Ba (0.0000, 0.6856, 0.3712)

No. 18
# BaGa6Ge6

BaGa6Ge6 after structural relaxation (PBE-GGA, Alexandria via LeMat-Bulk).

Calculated values
* SG: Pm-3
* E_tot: -47.83 eV/f.u.

Lattice parameters (Å, degrees): 7.1209 7.1209 7.1209 90.00 90.00 90.00
Positions (direct):
Ba (0.0000, 0.0000, 0.0000)
Ga (0.5000, 0.7463, 0.0000)
Ge (0.5000, 0.0000, 0.2454)
Ge (0.2454, 0.5000, 0.0000)
Ge (0.7546, 0.5000, 0.0000)
Ge (0.5000, 0.0000, 0.7546)
Ga (0.0000, 0.5000, 0.2537)
Ga (0.2537, 0.0000, 0.5000)
Ge (0.0000, 0.7546, 0.5000)
Ga (0.7463, 0.0000, 0.5000)
Ga (0.0000, 0.5000, 0.7463)
Ge (0.0000, 0.2454, 0.5000)
Ga (0.5000, 0.2537, 0.0000)

No. 19
# Ba2Ga5Ge

Ba2Ga5Ge after structural relaxation (PBE-GGA, Alexandria via LeMat-Bulk).

Calculated values
* SG: Cmcm
* E_tot: -26.99 eV/f.u.

Lattice parameters (Å, degrees): 4.6534 9.9002 9.1263 90.00 90.00 103.59
Positions (direct):
Ga (0.5720, 0.1440, 0.7500)
Ga (0.1718, 0.3436, 0.8879)
Ba (0.0000, 0.0000, 0.0000)
Ga (0.8282, 0.6564, 0.1121)
Ga (0.6400, 0.2800, 0.4934)
Ge (0.5686, 0.1373, 0.2500)
Ga (0.3600, 0.7200, 0.9934)
Ga (0.3600, 0.7200, 0.5066)
Ba (0.2089, 0.4179, 0.2500)
Ba (0.7911, 0.5821, 0.7500)
Ga (0.8282, 0.6564, 0.3879)
Ga (0.1718, 0.3436, 0.6121)
Ga (0.4280, 0.8560, 0.2500)
Ge (0.4314, 0.8627, 0.7500)
Ga (0.6400, 0.2800, 0.0066)
Ba (0.0000, 0.0000, 0.5000)

No. 20
# Ba2GaGe6

Ba2GaGe6 after structural relaxation (PBE-GGA, Alexandria via LeMat-Bulk).

Calculated values
* SG: C2/m
* E_tot: -37.31 eV/f.u.

Lattice parameters (Å, degrees): 6.3178 6.3178 11.8671 96.97 96.97 96.09
Positions (direct):
Ge (0.5155, 0.9338, 0.8968)
Ge (0.5189, 0.5189, 0.8976)
Ba (0.6694, 0.1656, 0.6708)
Ge (0.0699, 0.0699, 0.1023)
Ba (0.1656, 0.6694, 0.6708)
Ge (0.4845, 0.0662, 0.1032)
Ge (0.4811, 0.4811, 0.1024)
Ge (0.6387, 0.6387, 0.5611)
Ge (0.9301, 0.9301, 0.8977)
Ge (0.3613, 0.3613, 0.4389)
Ge (0.0662, 0.4845, 0.1032)
Ge (0.8558, 0.8558, 0.4365)
Ba (0.3306, 0.8344, 0.3292)
Ge (0.1442, 0.1442, 0.5635)
Ge (0.9338, 0.5155, 0.8968)
Ga (0.7998, 0.7998, 0.1952)
Ga (0.2002, 0.2002, 0.8048)
Ba (0.8344, 0.3306, 0.3292)

No. 21
# BaGa3Ge3

BaGa3Ge3 after structural relaxation (PBE-GGA, Alexandria via LeMat-Bulk).

Calculated values
* SG: R-3
* E_tot: -25.99 eV/f.u.

Lattice parameters (Å, degrees): 7.3334 7.3334 9.0405 66.07 66.07 60.00
Positions (direct):
Ge (0.2294, 0.5841, 0.2806)
Ga (0.7860, 0.1254, 0.6211)
Ga (0.2140, 0.8746, 0.3789)
Ge (0.5841, 0.9060, 0.2806)
Ge (0.4159, 0.0940, 0.7194)
Ga (0.8746, 0.5324, 0.3789)
Ge (0.9060, 0.2294, 0.2806)
Ba (0.3332, 0.3332, 0.0003)
Ge (0.0940, 0.7706, 0.7194)
Ge (0.7706, 0.4159, 0.7194)
Ba (0.6668, 0.6668, 0.9997)
Ga (0.5324, 0.2140, 0.3789)
Ga (0.4676, 0.7860, 0.6211)
Ga (0.1254, 0.4676, 0.6211)